(1)
VASP calculation (PBE) on a relaxed structure of Ac4Zn5Pt6.

**Formation energy**: -0.826 eV per atom
**Space-group type**: Cmc2_1, No. 36
**Total energy**: -142.877 eV for the cell shown
**N(E_F)**: 0.301 states/eV/atom

Cell lengths 4.2657, 10.5058, 15.8969 Å; angles 90.00, 90.00, 101.71 degrees
Last column: nearest neighbours and their distance in Å.
Sites, in units of the cell vectors:
Ac 0.8145 0.6291 0.4437  6 Pt 3.07-3.16
Ac 0.1675 0.3350 0.3056  6 Pt 3.07-3.16
Ac 0.8325 0.6650 0.8056  6 Pt 3.07-3.16
Ac 0.1855 0.3709 0.9437  6 Pt 3.07-3.16
Ac 0.9928 0.9857 0.0108  7 Pt 3.17-3.42, 3 Zn 3.49-3.51
Ac 0.9705 0.9410 0.2681  6 Pt 3.13-3.18, 5 Zn 3.25-3.41
Ac 0.0295 0.0590 0.7681  6 Pt 3.13-3.18, 5 Zn 3.25-3.41
Ac 0.0072 0.0143 0.5108  7 Pt 3.17-3.42, 3 Zn 3.49-3.51
Pt 0.4226 0.8452 0.3982  1 Zn 2.71, 1 Pt 2.93
Pt 0.2278 0.4556 0.7554  4 Zn 2.57-2.63
Pt 0.5722 0.1444 0.6318  5 Zn 2.67-2.81
Pt 0.5774 0.1548 0.8982  1 Zn 2.71, 1 Pt 2.93
Pt 0.5618 0.1236 0.3584  1 Zn 2.64, 1 Pt 2.93
Pt 0.4382 0.8764 0.8584  1 Zn 2.64, 1 Pt 2.93
Pt 0.7855 0.5710 0.9929  4 Zn 2.53-2.68
Pt 0.2145 0.4290 0.4929  4 Zn 2.53-2.68
Pt 0.7722 0.5444 0.2554  4 Zn 2.57-2.63
Pt 0.4278 0.8556 0.1318  5 Zn 2.67-2.81
Pt 0.8791 0.7581 0.6219  4 Zn 2.56-2.68
Pt 0.1209 0.2419 0.1219  4 Zn 2.56-2.68
Zn 0.8496 0.6991 0.1286  4 Pt 2.53-2.67
Zn 0.4384 0.8768 0.6681  3 Pt 2.56-2.81
Zn 0.6587 0.3173 0.7639  4 Pt 2.57-2.75
Zn 0.6996 0.3992 0.1196  4 Pt 2.63-2.68
Zn 0.5616 0.1232 0.1681  3 Pt 2.56-2.81
Zn 0.1504 0.3009 0.6286  4 Pt 2.53-2.67
Zn 0.3413 0.6827 0.2639  4 Pt 2.57-2.75
Zn 0.3582 0.7163 0.9884  4 Pt 2.61-2.69
Zn 0.6418 0.2837 0.4884  4 Pt 2.61-2.69
Zn 0.3004 0.6008 0.6196  4 Pt 2.63-2.68



(2)
VASP calculation (PBE) on a relaxed structure of Ac4ZnPt3.

**Formation energy**: -0.925 eV per atom
**Space-group type**: Pmm2, No. 25
**Total energy**: -43.233 eV for the cell shown
**N(E_F)**: 0.782 states/eV/atom

Cell lengths 4.1862, 4.7010, 11.6546 Å; angles 90.00, 90.00, 90.00 degrees
Last column: nearest neighbours and their distance in Å.
Sites, in units of the cell vectors:
Zn 0.5000 0.5000 0.0702  2 Pt 2.88
Ac 0.0000 0.0000 0.1382  3 Pt 3.16-3.23, 4 Zn 3.25
Ac 0.5000 0.5000 0.3717  6 Pt 3.18-3.31, 1 Zn 3.51
Ac 0.5000 0.0000 0.6343  7 Pt 3.19-3.42
Ac 0.0000 0.5000 0.8568  5 Pt 3.09-3.25, 2 Zn 3.25
Pt 0.0000 0.5000 0.5917  7 Ac 3.09-3.31, 2 Pt 3.17
Pt 0.0000 0.0000 0.4096  7 Ac 3.16-3.35, 2 Pt 3.17
Pt 0.5000 0.0000 0.9275  2 Zn 2.88



(3)
VASP calculation (PBE) on a relaxed structure of Ac6Zn5Pt.

**Formation energy**: -0.385 eV per atom
**Space-group type**: C2/m, No. 12
**Total energy**: -41.680 eV for the cell shown
**N(E_F)**: 0.720 states/eV/atom

Cell lengths 5.4919, 7.7965, 9.5206 Å; angles 65.82, 73.15, 90.00 degrees
Last column: nearest neighbours and their distance in Å.
Sites, in units of the cell vectors:
Zn 0.0000 0.5000 0.0000  8 Ac 3.33-3.42
Zn 0.6792 0.1795 0.6411  8 Ac 3.30-3.50
Zn 0.3313 0.3318 0.3369  8 Ac 3.38-3.44, 2 Zn 3.71-3.72
Zn 0.3208 0.8205 0.3589  8 Ac 3.30-3.50
Zn 0.6687 0.6682 0.6631  8 Ac 3.38-3.44, 2 Zn 3.71-3.72
Ac 0.8386 0.5961 0.3227  1 Pt 3.26, 7 Zn 3.30-3.40
Ac 0.4999 0.2391 0.0001  2 Pt 3.32, 6 Zn 3.42-3.50
Ac 0.1615 0.9186 0.6772  1 Pt 3.26, 7 Zn 3.30-3.40
Ac 0.5001 0.7609 0.9999  2 Pt 3.32, 6 Zn 3.42-3.50
Ac 0.1614 0.4039 0.6773  1 Pt 3.26, 7 Zn 3.30-3.40
Ac 0.8385 0.0814 0.3228  1 Pt 3.26, 7 Zn 3.30-3.40
Pt 0.0000 0.0000 0.0000  8 Ac 3.26-3.32



(4)
VASP calculation (PBE) on a relaxed structure of AcZn2Pt6.

**Formation energy**: -0.273 eV per atom
**Space-group type**: Fd-3m, No. 227
**Total energy**: -90.708 eV for the cell shown
**N(E_F)**: 0.253 states/eV/atom

Cell lengths 8.0976, 8.0976, 8.0976 Å; angles 60.00, 60.00, 60.00 degrees
Last column: nearest neighbours and their distance in Å.
Sites, in units of the cell vectors:
Zn 0.1250 0.1250 0.1250  6 Pt 2.48
Zn 0.1250 0.1250 0.6250  6 Pt 2.48
Zn 0.1250 0.6250 0.1250  6 Pt 2.48
Zn 0.6250 0.1250 0.1250  6 Pt 2.48
Pt 0.9995 0.5005 0.5005  2 Zn 2.48
Pt 0.5005 0.5005 0.9995  2 Zn 2.48
Pt 0.9995 0.5005 0.9995  2 Zn 2.48
Pt 0.5005 0.9995 0.9995  2 Zn 2.48
Pt 0.2505 0.7495 0.7495  2 Zn 2.48
Pt 0.7495 0.7495 0.2505  2 Zn 2.48
Pt 0.5005 0.9995 0.5005  2 Zn 2.48
Pt 0.2505 0.7495 0.2505  2 Zn 2.48
Pt 0.7495 0.2505 0.7495  2 Zn 2.48
Pt 0.2505 0.2505 0.7495  2 Zn 2.48
Pt 0.9995 0.9995 0.5005  2 Zn 2.48
Pt 0.7495 0.2505 0.2505  2 Zn 2.48
Ac 0.5000 0.5000 0.5000  6 Pt 2.86
Ac 0.7500 0.7500 0.7500  6 Pt 2.86



Question: What is the N(E_F) in the second record?
Answer: 0.782 states/eV/atom



Question: Look up the formation energy of the third one.
Answer: -0.385 eV per atom



Question: Among the records above, which one has the lowest total energy?
Answer: Ac4Zn5Pt6



Question: The highest formation energy belongs to which entry?
Answer: AcZn2Pt6